The following is a DFT calculation (PBE) of crystalline AlTcHg at its relaxed geometry.

Cell: 5.5070 5.5070 5.5070 Å, 146.35 146.35 48.32°
Fractional positions:
Tc 0.3565 0.3565 0.0000
Al 0.9754 0.9754 0.0000
Hg 0.6680 0.6680 0.0000

Calculated values
- Electronic total energy: -4.5876 eV/atom
- DOS at the Fermi energy: 0.918 states/eV per atom
- Energy above the most stable polymorph in this dataset: 0.000 eV per atom
- Magnetic moment: 0.01 μB per formula unit
- ρ: 10.6 g/cm³
- Energy of formation from the pure elements: 0.216 eV/atom

=====

The following is a DFT calculation (PBE) of crystalline AlTcHg at its relaxed geometry.

Cell: 2.9769 2.9769 6.7431 Å, 90.00 90.00 120.00°
Fractional positions:
Hg 0.6667 0.3333 0.3353
Tc 0.3333 0.6667 0.6900
Al 0.0000 0.0000 0.9747

Calculated values
- Electronic total energy: -4.5567 eV/atom
- DOS at the Fermi energy: 0.941 states/eV per atom
- Energy above the most stable polymorph in this dataset: 0.031 eV per atom
- Magnetic moment: 0.01 μB per formula unit
- ρ: 10.4 g/cm³
- Energy of formation from the pure elements: 0.247 eV/atom

=====

The following is a DFT calculation (PBE) of crystalline Al2TcHg at its relaxed geometry.

Cell: 6.9562 4.2784 3.4532 Å, 90.04 60.17 127.75°
Fractional positions:
Al 0.0000 0.0000 0.0000
Al 0.5000 0.0000 0.5000
Tc 0.5000 0.5000 0.0000
Hg 0.0000 0.5000 0.5000

Calculated values
- Electronic total energy: -4.5288 eV/atom
- DOS at the Fermi energy: 0.596 states/eV per atom
- Magnetic moment: 0.00 μB per formula unit
- ρ: 9.3 g/cm³
- Energy of formation from the pure elements: 0.009 eV/atom

=====

The following is a DFT calculation (PBE) of crystalline Al2TcHg at its relaxed geometry.

Cell: 2.9358 2.9358 8.7512 Å, 90.00 90.00 113.40°
Fractional positions:
Hg 0.5000 0.5000 0.2500
Al 0.0000 0.0000 0.5313
Al 0.0000 0.0000 0.9687
Tc 0.5000 0.5000 0.7500

Calculated values
- Electronic total energy: -4.4459 eV/atom
- DOS at the Fermi energy: 0.611 states/eV per atom
- Magnetic moment: 0.00 μB per formula unit
- ρ: 8.5 g/cm³
- Energy of formation from the pure elements: 0.092 eV/atom

=====

The following is a DFT calculation (PBE) of crystalline AlTcHg3 at its relaxed geometry.

Cell: 5.1055 5.1055 5.1055 Å, 90.00 90.00 90.00°
Each line ends with the local moment (μB).
Fractional positions:
Al 0.0000 0.0000 0.0000  0.01
Hg 0.0000 0.5000 0.0000  0.00
Hg 0.0000 0.0000 0.5000  0.02
Hg 0.5000 0.0000 0.0000  0.00
Tc 0.5000 0.5000 0.5000  3.54

Calculated values
- Electronic total energy: -1.9574 eV/atom
- DOS at the Fermi energy: 0.780 states/eV per atom
- Energy above the most stable polymorph in this dataset: 0.166 eV per atom
- Magnetic moment: 4.01 μB per formula unit
- ρ: 9.1 g/cm³
- Energy of formation from the pure elements: 1.045 eV/atom

=====

The following is a DFT calculation (PBE) of crystalline AlTcHg3 at its relaxed geometry.

Cell: 5.3036 5.3036 5.3036 Å, 90.00 90.00 90.00°
Each line ends with the local moment (μB).
Fractional positions:
Tc 0.0000 0.0000 0.0000  1.53
Al 0.5000 0.5000 0.5000  -0.03
Hg 0.0000 0.5000 0.0000  0.01
Hg 0.5000 0.0000 0.0000  -0.01
Hg 0.0000 0.0000 0.5000  0.04

Calculated values
- Electronic total energy: -2.1235 eV/atom
- DOS at the Fermi energy: 1.133 states/eV per atom
- Energy above the most stable polymorph in this dataset: 0.000 eV per atom
- Magnetic moment: 1.44 μB per formula unit
- ρ: 8.1 g/cm³
- Energy of formation from the pure elements: 0.879 eV/atom

=====

The following is a DFT calculation (PBE) of crystalline AlTcHg4 at its relaxed geometry.

Cell: 5.7672 5.7672 5.7672 Å, 60.00 60.00 60.00°
Each line ends with the local moment (μB).
Fractional positions:
Al 0.0000 0.0000 0.0000  -0.01
Hg 0.3754 0.3754 0.8739  -0.01
Hg 0.3754 0.8739 0.3754  -0.01
Hg 0.8739 0.3754 0.3754  -0.01
Hg 0.3754 0.3754 0.3754  -0.01
Tc 0.7500 0.7500 0.7500  2.71

Calculated values
- Electronic total energy: -1.7260 eV/atom
- DOS at the Fermi energy: 0.911 states/eV per atom
- Magnetic moment: 3.00 μB per formula unit
- ρ: 11.4 g/cm³
- Energy of formation from the pure elements: 0.827 eV/atom

=====

The following is a DFT calculation (PBE) of crystalline Al2TcHg at its relaxed geometry.

Cell: 3.4584 3.4583 5.5551 Å, 90.00 90.00 90.00°
Fractional positions:
Tc 0.5000 0.5000 0.7936
Al 0.0000 0.0000 0.9732
Al 0.5000 0.5000 0.2466
Hg 0.0000 0.0000 0.4866

Calculated values
- Electronic total energy: -4.5257 eV/atom
- DOS at the Fermi energy: 0.784 states/eV per atom
- Magnetic moment: 0.00 μB per formula unit
- ρ: 8.8 g/cm³
- Energy of formation from the pure elements: 0.013 eV/atom

=====

The following is a DFT calculation (PBE) of crystalline Al2TcHg at its relaxed geometry.

Cell: 3.2894 3.2883 6.0141 Å, 90.00 90.00 90.00°
Fractional positions:
Al 0.0000 0.0000 0.5393
Al 0.0000 0.0000 0.9607
Tc 0.5000 0.5000 0.7500
Hg 0.5000 0.5000 0.2500

Calculated values
- Electronic total energy: -4.6820 eV/atom
- DOS at the Fermi energy: 0.396 states/eV per atom
- Magnetic moment: 0.00 μB per formula unit
- ρ: 9.0 g/cm³
- Energy of formation from the pure elements: -0.144 eV/atom

=====

The following is a DFT calculation (PBE) of crystalline AlTcHg at its relaxed geometry.

Cell: 7.2241 6.9666 2.9224 Å, 83.11 73.21 23.68°
Each line ends with the local moment (μB).
Fractional positions:
Tc 0.6545 0.6545 0.3455  0.28
Hg 0.3327 0.3327 0.6673  0.00
Al 0.0128 0.0128 0.9872  0.00

Calculated values
- Electronic total energy: -4.4654 eV/atom
- DOS at the Fermi energy: 0.779 states/eV per atom
- Energy above the most stable polymorph in this dataset: 0.122 eV per atom
- Magnetic moment: 0.30 μB per formula unit
- ρ: 10.3 g/cm³
- Energy of formation from the pure elements: 0.338 eV/atom

=====

The following is a DFT calculation (PBE) of crystalline Al2TcHg at its relaxed geometry.

Cell: 7.1595 7.1595 5.8077 Å, 51.95 51.95 90.00°
Each line ends with the local moment (μB).
Fractional positions:
Hg 0.0000 0.0000 0.0000  0.01
Hg 0.7500 0.2500 0.5000  0.01
Al 0.3750 0.3933 0.7500  0.01
Al 0.8750 0.8567 0.7500  0.01
Al 0.6067 0.1250 0.2500  0.01
Al 0.1433 0.6250 0.2500  0.00
Tc 0.2500 0.7500 0.5000  0.83
Tc 0.5000 0.5000 0.0000  0.82

Calculated values
- Electronic total energy: -4.1137 eV/atom
- DOS at the Fermi energy: 0.475 states/eV per atom
- Magnetic moment: 0.99 μB per formula unit
- ρ: 8.0 g/cm³
- Energy of formation from the pure elements: 0.425 eV/atom

=====

The following is a DFT calculation (PBE) of crystalline Al2TcHg at its relaxed geometry.

Cell: 2.8474 2.8474 8.4570 Å, 90.00 90.00 90.01°
Fractional positions:
Al 0.5000 0.5000 0.2303
Al 0.0000 0.0000 0.9848
Hg 0.0000 0.0000 0.5089
Tc 0.5000 0.5000 0.7760

Calculated values
- Electronic total energy: -4.3157 eV/atom
- DOS at the Fermi energy: 0.763 states/eV per atom
- Magnetic moment: 0.00 μB per formula unit
- ρ: 8.5 g/cm³
- Energy of formation from the pure elements: 0.223 eV/atom